Density functional theory data (GGA-PBE) for an optimized crystal structure of Y5Ho2Er2.

a b c (Å): 10.338 10.338 10.338
angles (deg): 85.98 104.03 145.87
Fractional coordinates of all 18 atoms:
1 Y 0.069 0.003 0.566
2 Y 0.196 0.047 0.243
3 Y 0.196 0.453 0.649
4 Y 0.437 0.503 0.434
5 Y 0.477 0.022 0.169
6 Y 0.477 0.808 0.955
7 Y 0.804 0.547 0.351
8 Y 0.804 0.953 0.757
9 Y 0.852 0.308 0.831
10 Y 0.852 0.522 0.045
11 Ho 0.586 0.086 0.500
12 Ho 0.586 0.586 0.000
13 Ho 0.662 0.462 0.700
14 Ho 0.762 0.962 0.300
15 Er 0.108 0.293 0.090
16 Er 0.108 0.518 0.315
17 Er 0.203 0.018 0.910
18 Er 0.203 0.793 0.685

Summary:
Formation enthalpy at 0 K: 0.20 eV/atom
Raw total energy: -97.6 eV for the cell shown
SG: No. 46

Density functional theory data (GGA-PBE) for an optimized crystal structure of Y9Ho2Er.

a b c (Å): 5.033 5.033 15.102
angles (deg): 90.00 90.00 90.00
Fractional coordinates of all 12 atoms:
1 Y 0.000 0.000 0.000
2 Y 0.000 0.000 0.333
3 Y 0.000 0.000 0.667
4 Y 0.000 0.500 0.166
5 Y 0.000 0.500 0.500
6 Y 0.000 0.500 0.834
7 Y 0.500 0.000 0.166
8 Y 0.500 0.000 0.500
9 Y 0.500 0.000 0.834
10 Ho 0.500 0.500 0.333
11 Ho 0.500 0.500 0.667
12 Er 0.500 0.500 0.000

Summary:
Formation enthalpy at 0 K: 0.03 eV/atom
Raw total energy: -71.6 eV for the cell shown
SG: No. 123

Density functional theory data (GGA-PBE) for an optimized crystal structure of Y9Ho3Er2.

a b c (Å): 5.291 6.895 12.859
angles (deg): 89.58 89.69 90.00
Fractional coordinates of all 14 atoms:
1 Y 0.000 0.000 0.000
2 Y 0.002 0.255 0.255
3 Y 0.492 0.750 0.154
4 Y 0.498 0.984 0.629
5 Y 0.499 0.515 0.628
6 Y 0.501 0.485 0.372
7 Y 0.502 0.016 0.371
8 Y 0.508 0.250 0.846
9 Y 0.998 0.745 0.745
10 Ho 0.000 0.500 0.000
11 Ho 0.001 0.750 0.473
12 Ho 0.999 0.250 0.527
13 Er 0.499 0.748 0.895
14 Er 0.501 0.252 0.105

Summary:
Formation enthalpy at 0 K: 0.23 eV/atom
Raw total energy: -77.9 eV for the cell shown
SG: No. 2

Density functional theory data (GGA-PBE) for an optimized crystal structure of YHo3Er7.

a b c (Å): 6.915 5.466 9.803
angles (deg): 90.00 109.91 90.00
Fractional coordinates of all 11 atoms:
1 Y 0.000 0.000 0.000
2 Ho 0.279 0.500 0.497
3 Ho 0.500 0.000 0.000
4 Ho 0.721 0.500 0.503
5 Er 0.000 0.000 0.500
6 Er 0.149 0.500 0.790
7 Er 0.321 0.500 0.141
8 Er 0.422 0.000 0.331
9 Er 0.578 0.000 0.669
10 Er 0.679 0.500 0.859
11 Er 0.851 0.500 0.210

Summary:
Formation enthalpy at 0 K: 0.15 eV/atom
Raw total energy: -50.4 eV for the cell shown
SG: No. 10

Density functional theory data (GGA-PBE) for an optimized crystal structure of Y4HoEr10.

a b c (Å): 9.378 9.378 9.378
angles (deg): 99.57 99.57 131.87
Fractional coordinates of all 15 atoms:
1 Y 0.101 0.701 0.801
2 Y 0.299 0.101 0.400
3 Y 0.701 0.899 0.600
4 Y 0.899 0.299 0.199
5 Ho 0.500 0.500 0.000
6 Er 0.052 0.350 0.900
7 Er 0.152 0.052 0.702
8 Er 0.250 0.750 0.500
9 Er 0.350 0.450 0.298
10 Er 0.450 0.152 0.100
11 Er 0.550 0.848 0.900
12 Er 0.650 0.550 0.702
13 Er 0.750 0.250 0.500
14 Er 0.848 0.948 0.298
15 Er 0.948 0.650 0.100

Summary:
Formation enthalpy at 0 K: 0.76 eV/atom
Raw total energy: -64.7 eV for the cell shown
SG: No. 87

Density functional theory data (GGA-PBE) for an optimized crystal structure of YHo2Er.

a b c (Å): 3.562 3.562 34.132
angles (deg): 90.00 90.00 120.00
Fractional coordinates of all 12 atoms:
1 Y 0.000 0.000 0.000
2 Y 0.333 0.667 0.667
3 Y 0.667 0.333 0.333
4 Ho 0.000 0.000 0.250
5 Ho 0.000 0.000 0.418
6 Ho 0.333 0.667 0.084
7 Ho 0.333 0.667 0.917
8 Ho 0.667 0.333 0.583
9 Ho 0.667 0.333 0.751
10 Er 0.000 0.000 0.834
11 Er 0.333 0.667 0.501
12 Er 0.667 0.333 0.167

Summary:
Formation enthalpy at 0 K: 0.01 eV/atom
Raw total energy: -60.4 eV for the cell shown
SG: No. 160

Density functional theory data (GGA-PBE) for an optimized crystal structure of Y3Ho8Er3.

a b c (Å): 9.562 9.562 9.562
angles (deg): 146.12 111.78 78.39
Fractional coordinates of all 14 atoms:
1 Y 0.000 0.000 0.000
2 Y 0.180 0.680 0.500
3 Y 0.820 0.320 0.500
4 Ho 0.120 0.278 0.841
5 Ho 0.238 0.896 0.342
6 Ho 0.437 0.278 0.159
7 Ho 0.445 0.104 0.342
8 Ho 0.555 0.896 0.658
9 Ho 0.563 0.722 0.841
10 Ho 0.762 0.104 0.658
11 Ho 0.880 0.722 0.159
12 Er 0.205 0.500 0.705
13 Er 0.500 0.500 0.000
14 Er 0.795 0.500 0.295

Summary:
Formation enthalpy at 0 K: 0.11 eV/atom
Raw total energy: -68.2 eV for the cell shown
SG: No. 71

Density functional theory data (GGA-PBE) for an optimized crystal structure of Y4Ho19Er6.

a b c (Å): 10.744 10.744 10.744
angles (deg): 109.47 109.47 109.47
Fractional coordinates of all 29 atoms:
1 Y 0.000 0.000 0.643
2 Y 0.000 0.643 0.000
3 Y 0.357 0.357 0.357
4 Y 0.643 0.000 0.000
5 Ho 0.000 0.000 0.000
6 Ho 0.000 0.263 0.263
7 Ho 0.000 0.737 0.737
8 Ho 0.014 0.801 0.340
9 Ho 0.199 0.212 0.538
10 Ho 0.212 0.538 0.199
11 Ho 0.263 0.000 0.263
12 Ho 0.263 0.263 0.000
13 Ho 0.326 0.788 0.986
14 Ho 0.340 0.014 0.801
15 Ho 0.462 0.674 0.660
16 Ho 0.538 0.199 0.212
17 Ho 0.660 0.462 0.674
18 Ho 0.674 0.660 0.462
19 Ho 0.737 0.000 0.737
20 Ho 0.737 0.737 0.000
21 Ho 0.788 0.986 0.326
22 Ho 0.801 0.340 0.014
23 Ho 0.986 0.326 0.788
24 Er 0.128 0.628 0.500
25 Er 0.372 0.500 0.872
26 Er 0.500 0.128 0.628
27 Er 0.500 0.872 0.372
28 Er 0.628 0.500 0.128
29 Er 0.872 0.372 0.500

Summary:
Formation enthalpy at 0 K: 0.40 eV/atom
Raw total energy: -128.5 eV for the cell shown
SG: No. 197